(1)
The following is a DFT calculation (PBE) of RbSc2Br2 after structural relaxation.

## Properties
- Formation energy (no corrections): -25.2 kJ/mol of atoms
- Offset from the most stable computed form: 0.1732 eV/atom
- Total DFT energy (no corrections): -3.6568 eV/atom
- Space-group type: P4/mbm
- Crystal system: tetragonal

Cell: 10.327 10.327 3.489 Å, 90.00 90.00 90.00°
Last column: magnetic moment on the atom in μB.
Fractional coordinates of all 10 atoms:
Sc 0.398 0.898 0.000  1.03
Sc 0.898 0.602 0.000  1.02
Sc 0.602 0.102 0.000  1.03
Sc 0.102 0.398 0.000  1.02
Br 0.119 0.619 0.500  0.03
Br 0.619 0.881 0.500  0.03
Br 0.881 0.381 0.500  0.03
Br 0.381 0.119 0.500  0.03
Rb 0.000 0.000 0.000  0.03
Rb 0.500 0.500 0.000  0.03

---

(2)
The following is a DFT calculation (PBE) of NbAu2SCl after structural relaxation.

## Properties
- Formation energy (no corrections): 87.1 kJ/mol of atoms
- Total DFT energy (no corrections): -3.6170 eV/atom
- Space-group type: P4/mmm
- Crystal system: tetragonal

Cell: 4.791 4.850 4.791 Å, 90.00 90.00 90.00°
Last column: magnetic moment on the atom in μB.
Fractional coordinates of all 5 atoms:
Nb 0.500 0.500 0.500  2.61
Au 0.000 0.000 0.500  -0.01
Au 0.500 0.000 0.000  0.02
S 0.000 0.000 0.000  0.02
Cl 0.000 0.500 0.000  0.00

---

(3)
The following is a DFT calculation (PBE) of PrHoNiPd after structural relaxation.

## Properties
- Offset from the most stable computed form: 0.0703 eV/atom
- Total DFT energy (no corrections): -5.6034 eV/atom
- Space-group type: F-43m
- Crystal system: cubic

Cell: 4.980 4.980 4.980 Å, 60.00 60.00 60.00°
Fractional coordinates of all 4 atoms:
Pr 0.000 0.000 0.000
Ni 0.250 0.250 0.250
Ho 0.500 0.500 0.500
Pd 0.750 0.750 0.750